First-principles (PBE) data for a geometry-optimized Ce2Co2Ni structure, as listed in Alexandria via LeMat-Bulk.

The space group is C2/c (No. 15) and the conventional cell measures 9.5551, 4.6617 and 7.8728 Å, with angles of 90.00, 99.78 and 90.00 degrees. The asymmetric unit holds Ce at (0.1475, 0.1587, 0.1494), Co at (0.1294, 0.4094, 0.5057) and Ni at (0.0000, 0.3082, 0.7500).

The size of the total moment is 0.00 μB/f.u.

First-principles (PBE) data for a geometry-optimized CeNpCoNi structure, as listed in Alexandria via LeMat-Bulk.

The space group is F-43m (No. 216) and the conventional cell measures 6.3370, 6.3370 and 6.3370 Å, with angles of 90.00, 90.00 and 90.00 degrees. The asymmetric unit holds Ce at (0.0000, 0.0000, 0.0000), Np at (0.2500, 0.2500, 0.7500), Co at (0.0000, 0.0000, 0.5000) and Ni at (0.2500, 0.2500, 0.2500).

The size of the total moment is 2.27 μB/f.u.

First-principles (PBE) data for a geometry-optimized Ce2CoNi12P3 structure, as listed in Alexandria via LeMat-Bulk.

The space group is R-3m (No. 166, hexagonal axes) and the conventional cell measures 8.1742, 8.1742 and 12.5954 Å, with angles of 90.00, 90.00 and 120.00 degrees. The asymmetric unit holds Ce at (0.0000, 0.0000, 0.1167), Co at (0.0000, 0.0000, 0.5000), Ni at (0.0102, 0.5051, 0.8289), Ni at (0.0372, 0.5186, 0.3681) and P at (0.0000, 0.5000, 0.0000).

The size of the total moment is 1.91 μB/f.u.

First-principles (PBE) data for a geometry-optimized Ce2Co3NiP4 structure, as listed in Alexandria via LeMat-Bulk.

The space group is P-4m2 (No. 115) and the conventional cell measures 3.9929, 3.9929 and 9.0522 Å, with angles of 90.00, 90.00 and 90.00 degrees. The asymmetric unit holds Ce at (0.0000, 0.5000, 0.2470), Co at (0.0000, 0.5000, 0.8882), Co at (0.5000, 0.5000, 0.5000), Ni at (0.0000, 0.0000, 0.5000), P at (0.0000, 0.0000, 0.0000), P at (0.0000, 0.5000, 0.6350) and P at (0.5000, 0.5000, 0.0000).

The size of the total moment is 0.99 μB/f.u.

Number 1: calculated formation energy -0.27 eV/atom, calculated density 8.8 g cm⁻³, energy -132.75 eV/cell. Number 2: calculated formation energy -0.10 eV/atom, calculated density 12.9 g cm⁻³, energy -128.72 eV/cell. Number 3: calculated formation energy -0.09 eV/atom, calculated density 7.8 g cm⁻³, energy -318.86 eV/cell. Number 4: calculated formation energy -1.04 eV/atom, calculated density 7.4 g cm⁻³, energy -71.05 eV/cell.